A plane-wave DFT calculation with PBE-GGA was carried out for crystalline NaCoCuSeS2 at its relaxed geometry.

Unit cell a=6.9238 b=6.9238 c=9.3409 alpha=90.00 beta=90.00 gamma=151.50
Closest atoms and distances in Å follow each position.
Fractional positions:
Na1 0.2400 0.7600 0.7500  2 Cu 3.02, 2 Se 3.03, 6 S 3.15-3.27
Na2 0.7600 0.2400 0.2500  2 Cu 3.02, 2 Se 3.03, 6 S 3.15-3.27
Co1 0.0000 0.0000 0.0000  4 S 2.31, 2 Se 2.53
Co2 0.0000 0.0000 0.5000  4 S 2.31, 2 Se 2.53
Cu1 0.4460 0.5540 0.2500  2 S 2.20, 2 Se 2.41
Cu2 0.5540 0.4460 0.7500  2 S 2.20, 2 Se 2.41
Se1 0.0730 0.9270 0.2500  2 Cu 2.41, 2 Co 2.53
Se2 0.9270 0.0730 0.7500  2 Cu 2.41, 2 Co 2.53
S1 0.3856 0.6144 0.0309  1 Cu 2.20, 2 Co 2.31
S2 0.3856 0.6144 0.4691  1 Cu 2.20, 2 Co 2.31
S3 0.6144 0.3856 0.5309  1 Cu 2.20, 2 Co 2.31
S4 0.6144 0.3856 0.9691  1 Cu 2.20, 2 Co 2.31

Calculated values
- Crystal system: orthorhombic
- Total DFT energy (no corrections): -4.369 eV per atom

---

A plane-wave DFT calculation with PBE-GGA was carried out for crystalline ScNiB4 at its relaxed geometry.

Unit cell a=5.7833 b=11.2135 c=3.2517 alpha=90.00 beta=90.00 gamma=90.00
Closest atoms and distances in Å follow each position.
Fractional positions:
Sc1 0.1273 0.1505 0.0000  14 B 2.48-2.65
Sc2 0.3727 0.6505 0.0000  14 B 2.48-2.65
Sc3 0.6273 0.3495 0.0000  14 B 2.48-2.65
Sc4 0.8727 0.8495 0.0000  14 B 2.48-2.65
Ni1 0.1354 0.4114 0.0000  10 B 2.16-2.24
Ni2 0.3646 0.9114 0.0000  10 B 2.16-2.24
Ni3 0.6354 0.0886 0.0000  10 B 2.16-2.24
Ni4 0.8646 0.5886 0.0000  10 B 2.16-2.24
B1 0.0204 0.6939 0.5000  3 B 1.72-1.79
B2 0.1160 0.5491 0.5000  3 B 1.71-1.73
B3 0.1337 0.9676 0.5000  3 B 1.71-1.79
B4 0.2104 0.8134 0.5000  3 B 1.73-1.79
B5 0.2896 0.3134 0.5000  3 B 1.73-1.79
B6 0.3663 0.4676 0.5000  3 B 1.71-1.79
B7 0.3840 0.0491 0.5000  3 B 1.71-1.73
B8 0.4796 0.1939 0.5000  3 B 1.72-1.79
B9 0.5204 0.8061 0.5000  3 B 1.72-1.79
B10 0.6160 0.9509 0.5000  3 B 1.71-1.73
B11 0.6337 0.5324 0.5000  3 B 1.71-1.79
B12 0.7104 0.6866 0.5000  3 B 1.73-1.79
B13 0.7896 0.1866 0.5000  3 B 1.73-1.79
B14 0.8663 0.0324 0.5000  3 B 1.71-1.79
B15 0.8840 0.4509 0.5000  3 B 1.71-1.73
B16 0.9796 0.3061 0.5000  3 B 1.72-1.79

Calculated values
- Crystal system: orthorhombic
- Distance to the lowest polymorph of the same formula: 0 meV per atom

---

A plane-wave DFT calculation with PBE-GGA was carried out for crystalline Pr2Dy at its relaxed geometry.

Unit cell a=9.2578 b=9.2578 c=9.2578 alpha=60.00 beta=60.00 gamma=60.00
Closest atoms and distances in Å follow each position.
Fractional positions:
Pr1 0.0000 0.0000 0.0000  2 Dy 2.83
Pr2 0.0000 0.0000 0.5000  2 Dy 2.83
Pr3 0.0000 0.5000 0.0000  2 Dy 2.83
Pr4 0.5000 0.0000 0.0000  2 Dy 2.83
Dy1 0.1250 0.1250 0.1250  4 Pr 2.83
Dy2 0.8750 0.8750 0.8750  4 Pr 2.83

Calculated values
- Crystal system: cubic
- Distance to the lowest polymorph of the same formula: 1874 meV per atom
- Energy of formation: 2139 meV/atom

---

A plane-wave DFT calculation with PBE-GGA was carried out for crystalline GdUNi at its relaxed geometry.

Unit cell a=6.5206 b=6.5206 c=6.5206 alpha=90.00 beta=90.00 gamma=90.00
Closest atoms and distances in Å follow each position.
Fractional positions:
Gd1 0.0000 0.0000 0.0000  4 Ni 2.82
Gd2 0.0000 0.5000 0.5000  4 Ni 2.82
Gd3 0.5000 0.0000 0.5000  4 Ni 2.82
Gd4 0.5000 0.5000 0.0000  4 Ni 2.82
U1 0.0000 0.0000 0.5000  4 Ni 2.82
U2 0.0000 0.5000 0.0000  4 Ni 2.82
U3 0.5000 0.0000 0.0000  4 Ni 2.82
U4 0.5000 0.5000 0.5000  4 Ni 2.82
Ni1 0.2500 0.2500 0.7500  4 Gd 2.82, 4 U 2.82
Ni2 0.2500 0.7500 0.2500  4 Gd 2.82, 4 U 2.82
Ni3 0.7500 0.2500 0.2500  4 Gd 2.82, 4 U 2.82
Ni4 0.7500 0.7500 0.7500  4 Gd 2.82, 4 U 2.82

Calculated values
- Crystal system: cubic
- Distance to the lowest polymorph of the same formula: 0 meV per atom
- Energy of formation: 401 meV/atom

---

Question: Which formula does entry 4 have?
Answer: GdUNi